# 1
{
  "formula": "AgTeC",
  "functional": "PBE",
  "state": "relaxed",
  "lattice_angstrom": [[3.289, 0.000, 0.000], [0.000, 3.828, 0.000], [-1.469, 0.000, 4.980]],
  "species": ["Ag", "Te", "C"],
  "fractional_positions": [[0.000, 0.000, 0.000], [0.737, 0.500, 0.509], [0.113, 0.500, 0.233]],
  "e_form_raw_ev_per_fu": 3.3,
  "magnetic_moment_mub_per_fu": 0.000,
  "relative_energy_ev_per_atom": 0.468,
  "dos_ef_per_ev_cell": 0.68
}

# 2
{
  "formula": "AgTeC",
  "functional": "PBE",
  "state": "relaxed",
  "lattice_angstrom": [[4.789, 0.000, 0.000], [2.289, 4.249, 0.000], [0.230, 2.442, 8.201]],
  "species": ["Ag", "Ag", "Te", "Te", "C", "C"],
  "fractional_positions": [[0.000, 0.000, 0.000], [0.431, 0.479, 0.336], [0.295, 0.399, 0.914], [0.740, 0.848, 0.309], [0.039, 0.634, 0.526], [0.152, 0.531, 0.671]],
  "e_form_raw_ev_per_fu": 1.9,
  "magnetic_moment_mub_per_fu": 0.000,
  "relative_energy_ev_per_atom": 0.009
}

# 3
{
  "formula": "AgTeC",
  "functional": "PBE",
  "state": "relaxed",
  "lattice_angstrom": [[4.586, 0.000, 0.000], [-0.853, 4.601, 0.000], [-0.795, -0.777, 7.406]],
  "species": ["Ag", "Ag", "Te", "Te", "C", "C"],
  "fractional_positions": [[0.000, 0.000, 0.000], [0.170, 0.684, 0.644], [0.413, 0.698, 0.145], [0.722, 0.337, 0.772], [0.438, 0.897, 0.403], [0.512, 0.035, 0.556]],
  "e_form_raw_ev_per_fu": 2.0,
  "magnetic_moment_mub_per_fu": 0.000,
  "relative_energy_ev_per_atom": 0.027
}

# 4
{
  "formula": "AgTeC",
  "functional": "PBE",
  "state": "relaxed",
  "lattice_angstrom": [[4.002, 0.000, 0.000], [0.000, 5.525, 0.000], [0.000, 0.000, 5.430]],
  "species": ["Ag", "Ag", "Te", "Te", "C", "C"],
  "fractional_positions": [[0.000, 0.168, 0.000], [0.000, 0.832, 0.500], [0.500, 0.299, 0.521], [0.500, 0.701, 0.021], [0.500, 0.331, 0.914], [0.500, 0.669, 0.414]],
  "e_form_raw_ev_per_fu": 3.2,
  "magnetic_moment_mub_per_fu": 0.000,
  "relative_energy_ev_per_atom": 0.447,
  "dos_ef_per_ev_cell": 1.10
}

# 5
{
  "formula": "AgTe2C",
  "functional": "PBE",
  "state": "relaxed",
  "lattice_angstrom": [[2.312, 1.335, 6.737], [-2.312, 1.335, 6.737], [0.000, -2.669, 6.737]],
  "species": ["Ag", "Te", "Te", "C"],
  "fractional_positions": [[0.000, 0.000, 0.000], [0.403, 0.403, 0.403], [0.597, 0.597, 0.597], [0.500, 0.500, 0.500]],
  "e_form_raw_ev_per_fu": 3.8,
  "magnetic_moment_mub_per_fu": 0.000,
  "dos_ef_per_ev_cell": 2.21
}

# 6
{
  "formula": "AgTeC3",
  "functional": "PBE",
  "state": "relaxed",
  "lattice_angstrom": [[4.237, 0.000, 0.000], [0.000, 4.237, 0.000], [0.000, 0.000, 4.237]],
  "species": ["Ag", "Te", "C", "C", "C"],
  "fractional_positions": [[0.000, 0.000, 0.000], [0.500, 0.500, 0.500], [0.000, 0.000, 0.500], [0.000, 0.500, 0.000], [0.500, 0.000, 0.000]],
  "e_form_raw_ev_per_fu": 15.5,
  "magnetic_moment_mub_per_fu": 1.875,
  "relative_energy_ev_per_atom": 0.116,
  "dos_ef_per_ev_cell": 2.61
}